ThTl2As2O6: relaxed, PBE-GGA.

## Properties
Uncorrected formation energy ... -1812 meV per atom
Total magnetization ... 0.000 μB/atom

Cell lengths 10.613, 6.153, 7.251 Å; angles 90.00, 99.93, 90.00 degrees
Space group C2/m (No. 12)
Unique sites:
Th  0.000  0.000  0.000 (multiplicity 2)
Tl  0.189  0.500  0.201 (multiplicity 4)
As  0.131  0.500  0.708 (multiplicity 4)
O  0.067  0.278  0.825 (multiplicity 8)
O  0.207  0.000  0.162 (multiplicity 4)

=====

Ag2MoOs: relaxed, PBE-GGA.

## Properties
Formation enthalpy at 0 K ... 567 meV/atom
Relative energy among the computed polymorphs ... 1.30 eV/f.u.
Total magnetization ... 0.000 μB/atom

Cell lengths 9.901, 2.774, 4.761 Å; angles 90.00, 99.17, 90.00 degrees
Space group C2/m (No. 12)
Unique sites:
Ag  0.248  0.000  0.250 (multiplicity 4)
Mo  0.000  0.000  0.500 (multiplicity 2)
Os  0.000  0.500  0.000 (multiplicity 2)

=====

HoThOsPd: relaxed, PBE-GGA.

## Properties
Formation enthalpy at 0 K ... -530 meV/atom
Total magnetization ... 0.000 μB/atom

Cell lengths 7.051, 7.051, 7.051 Å; angles 90.00, 90.00, 90.00 degrees
Space group F-43m (No. 216)
Unique sites:
Ho  0.000  0.000  0.000 (multiplicity 4)
Th  0.000  0.000  0.500 (multiplicity 4)
Os  0.250  0.250  0.250 (multiplicity 4)
Pd  0.250  0.250  0.750 (multiplicity 4)

=====

KSb2Ru: relaxed, PBE-GGA.

## Properties
Relative energy among the computed polymorphs ... 3.38 eV/f.u.
Uncorrected formation energy ... 694 meV per atom
Total magnetization ... 0.102 μB/atom

Cell lengths 7.221, 7.221, 7.221 Å; angles 90.00, 90.00, 90.00 degrees
Space group F-43m (No. 216)
Unique sites:
K  0.000  0.000  0.000 (multiplicity 4)
Sb  0.000  0.000  0.500 (multiplicity 4)
Sb  0.250  0.250  0.750 (multiplicity 4)
Ru  0.250  0.250  0.250 (multiplicity 4)

=====

YBrO2F: relaxed, PBE-GGA.

## Properties
Uncorrected formation energy ... -1621 meV per atom
Total magnetization ... 0.601 μB/atom

Cell lengths 4.597, 4.597, 4.332 Å; angles 90.00, 90.00, 90.00 degrees
Space group P4/mmm (No. 123)
Unique sites:
Y  0.000  0.000  0.000 (multiplicity 1)
Br  0.500  0.500  0.500 (multiplicity 1)
O  0.000  0.500  0.000 (multiplicity 2)
F  0.000  0.000  0.500 (multiplicity 1)

=====

Sc2GaRu5W2: relaxed, PBE-GGA.

## Properties
Formation enthalpy at 0 K ... -77 meV/atom
Total magnetization ... 0.000 μB/atom

Cell lengths 10.339, 10.339, 3.143 Å; angles 90.00, 90.00, 90.00 degrees
Space group P4/mbm (No. 127)
Unique sites:
Sc  0.167  0.333  0.000 (multiplicity 4)
Ga  0.000  0.000  0.000 (multiplicity 2)
Ru  0.000  0.500  0.500 (multiplicity 2)
Ru  0.058  0.808  0.500 (multiplicity 8)
W  0.141  0.641  0.000 (multiplicity 4)

=====

Ba6Hg5As: relaxed, PBE-GGA.

## Properties
Formation enthalpy at 0 K ... -610 meV/atom
Total magnetization ... 0.000 μB/atom

Cell lengths 5.878, 8.325, 9.395 Å; angles 90.00, 108.08, 90.00 degrees
Space group P2/m (No. 10)
Unique sites:
Ba  0.000  0.233  0.000 (multiplicity 2)
Ba  0.339  0.245  0.679 (multiplicity 4)
Hg  0.170  0.500  0.341 (multiplicity 2)
Hg  0.177  0.000  0.353 (multiplicity 2)
Hg  0.500  0.500  0.000 (multiplicity 1)
As  0.500  0.000  0.000 (multiplicity 1)

=====

PuGe2Ru: relaxed, PBE-GGA.

## Properties
Formation enthalpy at 0 K ... -98 meV/atom
Relative energy among the computed polymorphs ... 1.15 eV/f.u.
Total magnetization ... 0.613 μB/atom

Cell lengths 4.559, 5.129, 11.435 Å; angles 90.00, 90.00, 90.00 degrees
Space group Pnma (No. 62)
Unique sites:
Pu  0.116  0.250  0.206 (multiplicity 4)
Ge  0.106  0.250  0.688 (multiplicity 4)
Ge  0.132  0.250  0.457 (multiplicity 4)
Ru  0.119  0.250  0.931 (multiplicity 4)

=====

SrTlRh: relaxed, PBE-GGA.

## Properties
Formation enthalpy at 0 K ... -160 meV/atom
Total magnetization ... 0.000 μB/atom

Cell lengths 3.593, 3.593, 11.492 Å; angles 90.00, 90.00, 90.00 degrees
Space group I4mm (No. 107)
Unique sites:
Sr  0.000  0.000  0.000 (multiplicity 2)
Tl  0.000  0.000  0.712 (multiplicity 2)
Rh  0.000  0.000  0.327 (multiplicity 2)

=====

KCo3P3: relaxed, PBE-GGA.

## Properties
Formation enthalpy at 0 K ... -433 meV/atom
Total magnetization ... 0.000 μB/atom

Cell lengths 6.2431, 6.2431, 23.4156 Å; angles 90.00, 90.00, 120.00 degrees
Space group R-3 (No. 148, hexagonal axes)
Unique sites:
K  0.0000  0.0000  0.1681 (multiplicity 6)
Co  0.0097  0.3195  0.7015 (multiplicity 18)
P  0.0133  0.3607  0.2742 (multiplicity 18)

=====

HI3F: relaxed, PBE-GGA.

## Properties
Relative energy among the computed polymorphs ... 2.91 eV/f.u.
Total magnetization ... 0.000 μB/atom

Cell lengths 4.868, 4.868, 4.868 Å; angles 90.00, 90.00, 90.00 degrees
Space group Pm-3m (No. 221)
Unique sites:
H  0.000  0.000  0.000 (multiplicity 1)
I  0.000  0.000  0.500 (multiplicity 3)
F  0.500  0.500  0.500 (multiplicity 1)

=====

BSbPAu2: relaxed, PBE-GGA.

## Properties
Uncorrected formation energy ... 681 meV per atom
Total magnetization ... 0.000 μB/atom

Cell lengths 4.278, 4.278, 5.228 Å; angles 90.00, 90.00, 90.00 degrees
Space group P4/mmm (No. 123)
Unique sites:
B  0.000  0.000  0.000 (multiplicity 1)
Sb  0.000  0.000  0.500 (multiplicity 1)
P  0.500  0.500  0.500 (multiplicity 1)
Au  0.000  0.500  0.000 (multiplicity 2)

=====

La3Pm2Tl: relaxed, PBE-GGA.

## Properties
Formation enthalpy at 0 K ... -121 meV/atom
Relative energy among the computed polymorphs ... 0.00 eV/f.u.
Total magnetization ... 0.000 μB/atom

Cell lengths 5.076, 15.712, 5.048 Å; angles 90.00, 90.00, 90.00 degrees
Space group Cmmm (No. 65)
Unique sites:
La  0.000  0.000  0.000 (multiplicity 2)
La  0.000  0.336  0.000 (multiplicity 4)
Pm  0.000  0.165  0.500 (multiplicity 4)
Tl  0.000  0.500  0.500 (multiplicity 2)

=====

no.,volume (A^3/atom)
1,21.20
2,16.14
3,21.91
4,23.53
5,18.31
6,16.80
7,36.42
8,16.72
9,24.72
10,18.82
11,23.08
12,19.14
13,33.55